# 1
Cs2RbIrBr6 | PBE | optimized geometry

Computed properties:
**Size of the total moment**: 0.00 μB/cell
**Calculated volume**: 38.42 Å³ per atom
**Energy relative to the elements, uncorrected**: -1.155 eV per atom

a = 8.160 Å, b = 8.160 Å, c = 8.160 Å
α = 60.00°, β = 60.00°, γ = 90.00°
Sites, in units of the cell vectors:
Cs 0.750 0.250 0.500
Cs 0.250 0.750 0.500
Ir 0.000 0.000 0.000
Br 0.218 0.218 0.564
Br 0.782 0.782 0.436
Br 0.218 0.218 0.000
Br 0.782 0.782 0.000
Br 0.782 0.218 0.000
Br 0.218 0.782 0.000
Rb 0.500 0.500 0.000

# 2
TcAs2Ru | PBE | optimized geometry

Computed properties:
**Energy of formation from the pure elements**: -0.075 eV per atom
**Size of the total moment**: 0.00 μB/cell
**Calculated volume**: 14.54 Å³ per atom
**Offset from the most stable computed form**: 49.2 meV/atom

a = 4.345 Å, b = 4.345 Å, c = 3.081 Å
α = 90.00°, β = 90.00°, γ = 90.00°
Sites, in units of the cell vectors:
Ru 0.500 0.000 0.500
As 0.000 0.000 0.000
As 0.500 0.500 0.000
Tc 0.000 0.500 0.500

# 3
VNiGe | PBE | optimized geometry

Computed properties:
**Energy of formation from the pure elements**: -0.236 eV per atom
**Size of the total moment**: 0.00 μB/cell
**Calculated volume**: 13.04 Å³ per atom

a = 2.712 Å, b = 4.022 Å, c = 7.279 Å
α = 90.00°, β = 99.73°, γ = 90.00°
Sites, in units of the cell vectors:
Ni 0.872 0.500 0.666
Ni 0.128 0.500 0.334
Ge 0.000 0.500 0.000
Ge 0.000 0.000 0.500
V 0.504 0.000 0.833
V 0.496 0.000 0.167

# 4
Ti5Ga3 | PBE | optimized geometry

Computed properties:
**Energy of formation from the pure elements**: -0.410 eV per atom
**Size of the total moment**: 1.53 μB/cell
**Calculated volume**: 16.63 Å³ per atom
**Offset from the most stable computed form**: 14.6 meV/atom

a = 7.606 Å, b = 7.606 Å, c = 5.311 Å
α = 90.00°, β = 90.00°, γ = 120.00°
Last column: magnetic moment on the atom in μB.
Sites, in units of the cell vectors:
Ti 0.762 0.000 0.750  0.04
Ti 0.762 0.762 0.250  0.04
Ti 0.000 0.238 0.250  0.04
Ti 0.000 0.762 0.750  0.04
Ti 0.238 0.238 0.750  0.04
Ti 0.238 0.000 0.250  0.04
Ti 0.333 0.667 0.000  0.26
Ti 0.667 0.333 0.500  0.26
Ti 0.667 0.333 0.000  0.26
Ti 0.333 0.667 0.500  0.26
Ga 0.395 0.000 0.750  0.00
Ga 0.395 0.395 0.250  0.00
Ga 0.000 0.605 0.250  0.00
Ga 0.000 0.395 0.750  0.00
Ga 0.605 0.605 0.750  0.00
Ga 0.605 0.000 0.250  0.00

# 5
Tb4Y3In4 | PBE | optimized geometry

Computed properties:
**Energy of formation from the pure elements**: -0.314 eV per atom
**Size of the total moment**: 0.00 μB/cell
**Calculated volume**: 29.55 Å³ per atom

a = 3.648 Å, b = 9.464 Å, c = 10.696 Å
α = 116.26°, β = 99.82°, γ = 90.00°
Sites, in units of the cell vectors:
Tb 0.337 0.151 0.673
Tb 0.663 0.478 0.327
Tb 0.663 0.849 0.327
Tb 0.337 0.522 0.673
Y 0.096 0.096 0.192
Y 0.904 0.904 0.808
Y 0.000 0.500 0.000
In 0.270 0.770 0.540
In 0.730 0.230 0.460
In 0.500 0.780 0.000
In 0.500 0.220 0.000

# 6
AgGe2Br4 | PBE | optimized geometry

Computed properties:
**Size of the total moment**: 1.04 μB/cell
**Calculated volume**: 33.64 Å³ per atom
**Energy relative to the elements, uncorrected**: -0.124 eV per atom

a = 6.744 Å, b = 6.744 Å, c = 6.744 Å
α = 111.17°, β = 111.17°, γ = 106.13°
Last column: magnetic moment on the atom in μB.
Sites, in units of the cell vectors:
Ag 0.500 0.500 0.000  0.01
Ge 0.250 0.750 0.500  0.20
Ge 0.750 0.250 0.500  0.20
Br 0.319 0.183 0.502  0.01
Br 0.817 0.319 0.136  0.01
Br 0.183 0.681 0.864  0.01
Br 0.681 0.817 0.498  0.01

# 7
CeTcW | PBE | optimized geometry

Computed properties:
**Energy of formation from the pure elements**: 0.378 eV per atom
**Size of the total moment**: 0.00 μB/cell
**Calculated volume**: 18.09 Å³ per atom
**Offset from the most stable computed form**: 262.6 meV/atom

a = 2.951 Å, b = 4.607 Å, c = 4.607 Å
α = 120.00°, β = 90.00°, γ = 90.00°
Sites, in units of the cell vectors:
Ce 0.991 0.000 0.000
W 0.327 0.333 0.667
Tc 0.682 0.667 0.333

# 8
AcHf2IO8 | PBE | optimized geometry

Computed properties:
**Size of the total moment**: 0.00 μB/cell
**Calculated volume**: 14.71 Å³ per atom
**Energy relative to the elements, uncorrected**: -2.425 eV per atom

a = 5.082 Å, b = 5.081 Å, c = 6.839 Å
α = 90.00°, β = 90.00°, γ = 88.20°
Sites, in units of the cell vectors:
Ac 0.000 0.000 0.500
Hf 0.500 0.500 0.752
Hf 0.500 0.500 0.248
I 0.000 0.000 0.000
O 0.208 0.791 0.216
O 0.693 0.693 0.000
O 0.792 0.209 0.216
O 0.792 0.209 0.784
O 0.307 0.307 0.000
O 0.208 0.791 0.784
O 0.667 0.668 0.500
O 0.333 0.332 0.500